# 1
## SbPdW (PBE-GGA)

Data for a geometry-optimized SbPdW structure.

a = 3.269 Å, b = 2.983 Å, c = 13.316 Å
α = 90.00°, β = 90.00°, γ = 123.23°
Fractional positions:
Sb  0.123  0.246  0.829
Sb  0.123  0.246  0.171
Pd  0.418  0.837  0.500
Pd  0.453  0.905  0.000
W  0.775  0.549  0.340
W  0.775  0.549  0.660

Values from the calculation:
As for the calculated total energy: -7.081 eV/atom. The total magnetization is 0.0 μB per cell. Its space group is Amm2, No. 38.

***

# 2
## Ac4CdAg2Au (PBE-GGA)

Data for a geometry-optimized Ac4CdAg2Au structure.

a = 5.626 Å, b = 5.626 Å, c = 9.726 Å
α = 73.19°, β = 73.19°, γ = 60.00°
Fractional positions:
Ag  0.745  0.745  0.766
Ag  0.255  0.255  0.234
Ac  0.871  0.871  0.387
Ac  0.621  0.621  0.138
Ac  0.379  0.379  0.862
Ac  0.129  0.129  0.613
Au  0.500  0.500  0.500
Cd  0.000  0.000  0.000

Values from the calculation:
As for the calculated total energy: -3.695 eV/atom. Its formation energy is -0.4043 eV per atom. The total magnetization is 0.0 μB per cell. Its space group is R-3m, No. 166.